Record 1
Entry from the Alexandria database: crystalline Pm2ThTlN at its relaxed geometry (PBE).

a b c (Å): 5.0591 5.0591 4.8839
angles (deg): 90.00 90.00 90.00
Space group P4/mmm (No. 123)
Symmetry-distinct sites (fractional):
Pm 0.0000 0.5000 0.0000
Th 0.0000 0.0000 0.5000
Tl 0.5000 0.5000 0.5000
N 0.0000 0.0000 0.0000

Values from the calculation:
density of states at the Fermi level = 1.76 states/eV per cell
formation energy (no corrections) = -0.80 eV/atom
total moment = 0.00 Bohr magnetons per cell

***

Record 2
Entry from the Alexandria database: crystalline Pm3ThU2N6 at its relaxed geometry (PBE).

a b c (Å): 6.1647 10.6537 6.1500
angles (deg): 90.00 109.52 90.00
Space group C2/m (No. 12)
Symmetry-distinct sites (fractional):
Pm 0.0000 0.0000 0.0000
Pm 0.0000 0.3344 0.0000
Th 0.0000 0.5000 0.5000
U 0.0000 0.1669 0.5000
N 0.2159 0.0000 0.7136
N 0.2503 0.1773 0.2820

Values from the calculation:
density of states at the Fermi level = 17.29 states/eV per cell
formation energy (no corrections) = -1.46 eV/atom
total moment = 1.50 Bohr magnetons per cell

***

Record 3
Entry from the Alexandria database: crystalline Pm2Th3UN6 at its relaxed geometry (PBE).

a b c (Å): 6.2369 10.7714 6.2402
angles (deg): 90.00 109.39 90.00
Space group C2/m (No. 12)
Symmetry-distinct sites (fractional):
Pm 0.0000 0.1669 0.0000
Th 0.0000 0.0000 0.5000
Th 0.0000 0.3315 0.5000
U 0.0000 0.5000 0.0000
N 0.2243 0.5000 0.7566
N 0.2286 0.3490 0.2320

Values from the calculation:
density of states at the Fermi level = 11.48 states/eV per cell
formation energy (no corrections) = -1.51 eV/atom
total moment = 0.00 Bohr magnetons per cell

***

Record 4
Entry from the Alexandria database: crystalline Pm2ThUN4 at its relaxed geometry (PBE).

a b c (Å): 6.1633 3.5775 6.2105
angles (deg): 90.00 109.28 90.00
Space group P2/m (No. 10)
Symmetry-distinct sites (fractional):
Pm 0.0000 0.0000 0.0000
Pm 0.0000 0.5000 0.5000
Th 0.5000 0.0000 0.5000
U 0.5000 0.5000 0.0000
N 0.2773 0.5000 0.2307
N 0.2844 0.0000 0.7819

Values from the calculation:
density of states at the Fermi level = 3.42 states/eV per cell
formation energy (no corrections) = -1.48 eV/atom
total moment = 0.01 Bohr magnetons per cell

***

Record 5
Entry from the Alexandria database: crystalline PmTh2UN4 at its relaxed geometry (PBE).

a b c (Å): 5.0910 5.0910 10.1225
angles (deg): 90.00 90.00 90.00
Space group I-4m2 (No. 119)
Symmetry-distinct sites (fractional):
Pm 0.0000 0.0000 0.0000
Th 0.0000 0.0000 0.5000
Th 0.0000 0.5000 0.2500
U 0.0000 0.5000 0.7500
N 0.0000 0.0000 0.2518
N 0.0000 0.5000 0.5174

Values from the calculation:
density of states at the Fermi level = 12.41 states/eV per cell
formation energy (no corrections) = -1.45 eV/atom
total moment = 3.32 Bohr magnetons per cell

***

Record 6
Entry from the Alexandria database: crystalline PmThVN3 at its relaxed geometry (PBE).

a b c (Å): 7.4169 3.5496 7.6439
angles (deg): 90.00 94.95 90.00
Space group P2_1/m (No. 11)
Symmetry-distinct sites (fractional):
Pm 0.1539 0.2500 0.1578
Th 0.3692 0.7500 0.8195
V 0.0870 0.2500 0.5919
N 0.1179 0.2500 0.8430
N 0.1574 0.7500 0.5195
N 0.3959 0.7500 0.1292

Values from the calculation:
density of states at the Fermi level = 6.40 states/eV per cell
formation energy (no corrections) = -1.23 eV/atom
total moment = 0.00 Bohr magnetons per cell